# ThMgAg PBE optimized geometry
# Energy of formation from the pure elements in eV per atom: -0.07
# Size of the total moment in μB/atom: 0.00
data_ThMgAg
_cell_length_a 5.0007
_cell_length_b 5.0007
_cell_length_c 3.3967
_cell_angle_alpha 90.00
_cell_angle_beta 90.00
_cell_angle_gamma 120.00
_space_group_name_H-M_alt 'P -6 m 2'
_space_group_IT_number 187
_space_group_name_Hall 'P -6 2'
loop_
_atom_site_label
_atom_site_type_symbol
_atom_site_fract_x
_atom_site_fract_y
_atom_site_fract_z
_atom_site_occupancy
Th1 Th 0.0000 0.0000 0.0000 1
Mg1 Mg 0.3333 0.6667 0.5000 1
Ag1 Ag 0.6667 0.3333 0.5000 1

# Th2Mg3Ag3 PBE optimized geometry
# Energy of formation from the pure elements in eV per atom: -0.03
# Size of the total moment in μB/atom: 0.00
data_Th2Mg3Ag3
_cell_length_a 8.5559
_cell_length_b 8.5559
_cell_length_c 6.4672
_cell_angle_alpha 90.00
_cell_angle_beta 90.00
_cell_angle_gamma 120.00
_space_group_name_H-M_alt 'P 63/m c m'
_space_group_IT_number 193
_space_group_name_Hall '-P 6c 2'
loop_
_atom_site_label
_atom_site_type_symbol
_atom_site_fract_x
_atom_site_fract_y
_atom_site_fract_z
_atom_site_occupancy
Th1 Th 0.3333 0.6667 0.0000 1
Mg1 Mg 0.0000 0.2650 0.2500 1
Ag1 Ag 0.0000 0.3631 0.7500 1